Record 1
Below is a geometry-optimized AgOsPd structure, with properties calculated at the GGA-PBE level.

Cell lengths 4.2583, 4.2583, 4.2583 Å; angles 60.00, 60.00, 60.00 degrees
Fractional coordinates of all 3 atoms:
Ag  0.2500  0.2500  0.2500
Os  0.7500  0.7500  0.7500
Pd  0.0000  0.0000  0.0000

Properties
Formation enthalpy at 0 K   1124.1 meV/atom
Total magnetization   0.42 μB/atom
Energy   -5.2844 eV/atom
Relative energy among the computed polymorphs   0.0 meV per atom

***

Record 2
Below is a geometry-optimized NdHfSi structure, with properties calculated at the GGA-PBE level.

Cell lengths 4.8583, 4.8583, 4.8583 Å; angles 60.00, 60.00, 60.00 degrees
Last column: magnetic moment on the atom in μB.
Fractional coordinates of all 3 atoms:
Hf  0.2500  0.2500  0.2500  0.25
Si  0.7500  0.7500  0.7500  -0.01
Nd  0.0000  0.0000  0.0000  0.12

Properties
Total magnetization   0.17 μB/atom
Energy   -5.7981 eV/atom
Relative energy among the computed polymorphs   1101.1 meV per atom

***

Record 3
Below is a geometry-optimized HgTeAsO structure, with properties calculated at the GGA-PBE level.

Cell lengths 4.3907, 6.8821, 5.9881 Å; angles 90.00, 90.00, 90.00 degrees
Fractional coordinates of all 8 atoms:
O  0.5000  0.7989  0.4256
As  0.0000  0.6702  0.8866
O  0.5000  0.2011  0.9256
Hg  0.5000  0.1477  0.4890
Te  0.0000  0.2442  0.9529
Te  0.0000  0.7558  0.4529
Hg  0.5000  0.8523  0.9890
As  0.0000  0.3298  0.3866

Properties
Energy   -3.2906 eV/atom
Relative energy among the computed polymorphs   282.3 meV per atom

***

Record 4
Below is a geometry-optimized TcGePO structure, with properties calculated at the GGA-PBE level.

Cell lengths 3.6750, 3.6750, 9.4870 Å; angles 90.00, 90.00, 90.00 degrees
Fractional coordinates of all 8 atoms:
Tc  0.5000  0.5000  0.5000
P  0.5000  0.0000  0.3302
O  0.0000  0.0000  0.0000
P  0.0000  0.5000  0.6698
Tc  0.0000  0.0000  0.5000
Ge  0.5000  0.0000  0.8929
Ge  0.0000  0.5000  0.1071
O  0.5000  0.5000  0.0000

Properties
Total magnetization   0.01 μB/atom
Energy   -6.8166 eV/atom
Relative energy among the computed polymorphs   0.0 meV per atom

***

Record 5
Below is a geometry-optimized Er3TeP2 structure, with properties calculated at the GGA-PBE level.

Cell lengths 4.0468, 4.0468, 10.1930 Å; angles 90.00, 90.00, 120.00 degrees
Fractional coordinates of all 6 atoms:
Er  0.3333  0.6667  0.7028
Te  0.0000  0.0000  0.5000
P  0.6667  0.3333  0.8429
Er  0.6667  0.3333  0.2972
Er  0.0000  0.0000  0.0000
P  0.3333  0.6667  0.1571

Properties
Total magnetization   0.00 μB/atom
Energy   -6.1841 eV/atom

***

Record 6
Below is a geometry-optimized Gd2NiAs2Pd structure, with properties calculated at the GGA-PBE level.

Cell lengths 4.2152, 4.2152, 7.7005 Å; angles 90.00, 90.00, 120.00 degrees
Fractional coordinates of all 6 atoms:
Pd  0.6667  0.3333  0.5000
Gd  0.3333  0.6667  0.7551
As  0.6667  0.3333  0.0000
Gd  0.3333  0.6667  0.2449
Ni  0.0000  0.0000  0.0000
As  0.0000  0.0000  0.5000

Properties
Total magnetization   0.00 μB/atom
Energy   -5.9892 eV/atom

***

Record 7
Below is a geometry-optimized LiMgCoAs structure, with properties calculated at the GGA-PBE level.

Cell lengths 4.2040, 4.2040, 4.2040 Å; angles 60.00, 60.00, 60.00 degrees
Fractional coordinates of all 4 atoms:
As  0.0000  0.0000  0.0000
Mg  0.5000  0.5000  0.5000
Li  0.2500  0.2500  0.2500
Co  0.7500  0.7500  0.7500

Properties
Total magnetization   0.00 μB/atom
Energy   -4.0412 eV/atom
Relative energy among the computed polymorphs   0.0 meV per atom

***

Record 8
Below is a geometry-optimized LiZn3 structure, with properties calculated at the GGA-PBE level.

Cell lengths 4.3001, 4.3001, 4.3001 Å; angles 60.00, 60.00, 60.00 degrees
Fractional coordinates of all 4 atoms:
Zn  0.0000  0.0000  0.0000
Zn  0.7500  0.7500  0.7500
Li  0.2500  0.2500  0.2500
Zn  0.5000  0.5000  0.5000

Properties
Energy   -1.5878 eV/atom

***

Record 9
Below is a geometry-optimized La5U2S12 structure, with properties calculated at the GGA-PBE level.

Cell lengths 8.7486, 8.7486, 9.2267 Å; angles 105.76, 105.76, 51.22 degrees
Last column: magnetic moment on the atom in μB.
Fractional coordinates of all 19 atoms:
S  0.5019  0.5019  0.2069  -0.05
S  0.1012  0.5978  0.4310  0.00
La  0.6899  0.6899  0.8255  0.00
S  0.4022  0.8988  0.5690  0.00
S  0.5592  0.0969  0.9126  -0.03
S  0.5978  0.1012  0.4310  0.00
S  0.8988  0.4022  0.5690  0.00
S  0.4981  0.4981  0.7931  -0.05
La  0.0000  0.0000  0.5000  0.00
S  0.9031  0.4408  0.0874  -0.03
La  0.3101  0.3101  0.1745  0.00
S  0.0969  0.5592  0.9126  -0.03
La  0.2960  0.2960  0.6370  0.00
S  0.4408  0.9031  0.0874  -0.03
S  0.9982  0.9982  0.1933  -0.05
La  0.7040  0.7040  0.3630  0.00
S  0.0018  0.0018  0.8067  -0.05
U  0.2507  0.7493  0.0000  1.62
U  0.7493  0.2507  0.0000  1.62

Properties
Total magnetization   0.16 μB/atom
Energy   -6.9853 eV/atom

***

Record 10
Below is a geometry-optimized DyMgTe structure, with properties calculated at the GGA-PBE level.

Cell lengths 5.1478, 5.1478, 5.1478 Å; angles 60.00, 60.00, 60.00 degrees
Last column: magnetic moment on the atom in μB.
Fractional coordinates of all 3 atoms:
Mg  0.2500  0.2500  0.2500  0.02
Dy  0.0000  0.0000  0.0000  0.35
Te  0.7500  0.7500  0.7500  0.00

Properties
Total magnetization   0.25 μB/atom
Energy   -3.2932 eV/atom
Relative energy among the computed polymorphs   35.5 meV per atom

***

Record 11
Below is a geometry-optimized Ta2CdB2 structure, with properties calculated at the GGA-PBE level.

Cell lengths 7.0409, 7.0409, 3.2334 Å; angles 90.00, 90.00, 155.21 degrees
Fractional coordinates of all 5 atoms:
Cd  0.0000  0.0000  0.0000
B  0.7807  0.2193  0.0000
Ta  0.6546  0.3454  0.5000
Ta  0.3454  0.6546  0.5000
B  0.2193  0.7807  0.0000

Properties
Total magnetization   0.00 μB/atom
Energy   -7.9384 eV/atom

***

Record 12
Below is a geometry-optimized AcHfSc structure, with properties calculated at the GGA-PBE level.

Cell lengths 5.2384, 5.2384, 5.2384 Å; angles 60.00, 60.00, 60.00 degrees
Fractional coordinates of all 3 atoms:
Sc  0.7500  0.7500  0.7500
Ac  0.0000  0.0000  0.0000
Hf  0.2500  0.2500  0.2500

Properties
Formation enthalpy at 0 K   1228.4 meV/atom
Total magnetization   0.33 μB/atom
Energy   -5.5682 eV/atom
Relative energy among the computed polymorphs   345.1 meV per atom

***

Record 13
Below is a geometry-optimized Ta4SbAuC2 structure, with properties calculated at the GGA-PBE level.

Cell lengths 3.2686, 3.2686, 13.3703 Å; angles 90.00, 90.00, 120.00 degrees
Fractional coordinates of all 8 atoms:
Sb  0.6667  0.3333  0.5000
C  0.0000  0.0000  0.2491
C  0.0000  0.0000  0.7509
Ta  0.3333  0.6667  0.3355
Ta  0.6667  0.3333  0.1651
Au  0.3333  0.6667  0.0000
Ta  0.3333  0.6667  0.6645
Ta  0.6667  0.3333  0.8349

Properties
Total magnetization   0.00 μB/atom
Energy   -9.5104 eV/atom

***

Record 14
Below is a geometry-optimized Nd4CI2Br2Cl structure, with properties calculated at the GGA-PBE level.

Cell lengths 9.7544, 9.7544, 8.3002 Å; angles 102.47, 102.47, 23.48 degrees
Fractional coordinates of all 10 atoms:
Br  0.1580  0.1580  0.3460
C  0.5000  0.5000  0.0000
Nd  0.3644  0.3644  0.9247
Nd  0.9992  0.9992  0.2119
Nd  0.0008  0.0008  0.7881
Nd  0.6356  0.6356  0.0753
I  0.1718  0.1718  0.8070
Br  0.8420  0.8420  0.6540
Cl  0.5000  0.5000  0.5000
I  0.8282  0.8282  0.1930

Properties
Total magnetization   0.00 μB/atom
Energy   -5.0089 eV/atom
Relative energy among the computed polymorphs   0.0 meV per atom

***

Record 15
Below is a geometry-optimized TaNi2Pd structure, with properties calculated at the GGA-PBE level.

Cell lengths 4.6205, 4.6205, 4.6205 Å; angles 131.73, 131.73, 70.66 degrees
Fractional coordinates of all 4 atoms:
Ni  0.7500  0.2500  0.5000
Pd  0.5000  0.5000  0.0000
Ni  0.2500  0.7500  0.5000
Ta  0.0000  0.0000  0.0000

Properties
Formation enthalpy at 0 K   -350.2 meV/atom
Total magnetization   0.00 μB/atom
Energy   -7.3910 eV/atom

***

Record 16
Below is a geometry-optimized NdLuZn structure, with properties calculated at the GGA-PBE level.

Cell lengths 4.9642, 4.9642, 4.9642 Å; angles 60.00, 60.00, 60.00 degrees
Fractional coordinates of all 3 atoms:
Lu  0.2500  0.2500  0.2500
Nd  0.7500  0.7500  0.7500
Zn  0.0000  0.0000  0.0000

Properties
Formation enthalpy at 0 K   21.3 meV/atom
Total magnetization   0.00 μB/atom
Energy   -3.4958 eV/atom
Relative energy among the computed polymorphs   0.0 meV per atom

***

Record 17
Below is a geometry-optimized NdEr2Al3Si2Ir structure, with properties calculated at the GGA-PBE level.

Cell lengths 4.2351, 6.9601, 6.9601 Å; angles 120.32, 90.00, 90.00 degrees
Fractional coordinates of all 9 atoms:
Si  0.5000  0.6723  0.3298
Al  0.5000  0.2315  0.9971
Ir  0.0000  0.9906  0.9906
Nd  0.0000  0.4190  0.4190
Al  0.5000  0.7698  0.7698
Er  0.0000  0.0025  0.5874
Si  0.5000  0.3298  0.6723
Er  0.0000  0.5874  0.0025
Al  0.5000  0.9971  0.2315

Properties
Total magnetization   0.00 μB/atom
Energy   -5.8139 eV/atom

***

Record 18
Below is a geometry-optimized Nd3ReO7 structure, with properties calculated at the GGA-PBE level.

Cell lengths 6.5961, 6.5961, 7.5625 Å; angles 90.00, 90.00, 68.37 degrees
Last column: magnetic moment on the atom in μB.
Fractional coordinates of all 22 atoms:
Re  0.0000  0.0000  0.5000  1.49
O  0.6865  0.0612  0.5387  0.06
O  0.0612  0.6865  0.0387  0.06
Nd  0.9706  0.5839  0.7500  0.02
Nd  0.5000  0.5000  0.5000  0.01
Nd  0.0294  0.4161  0.2500  0.02
O  0.6587  0.6040  0.2500  0.00
Nd  0.5839  0.9706  0.2500  0.03
Nd  0.5000  0.5000  0.0000  0.01
O  0.9388  0.3135  0.9613  0.06
O  0.6040  0.6587  0.7500  0.01
O  0.9388  0.3135  0.5387  0.06
O  0.0612  0.6865  0.4613  0.06
O  0.3413  0.3960  0.7500  0.00
O  0.3135  0.9388  0.4613  0.06
O  0.6865  0.0612  0.9613  0.07
Nd  0.4161  0.0294  0.7500  0.03
O  0.0763  0.9237  0.7500  0.04
O  0.3135  0.9388  0.0387  0.07
Re  0.0000  0.0000  0.0000  1.50
O  0.3960  0.3413  0.2500  0.01
O  0.9237  0.0763  0.2500  0.04

Properties
Total magnetization   0.18 μB/atom
Energy   -8.3701 eV/atom

***

Record 19
Below is a geometry-optimized Rb2ZrAg2Se2S2 structure, with properties calculated at the GGA-PBE level.

Cell lengths 7.6301, 7.6301, 6.2134 Å; angles 90.36, 90.36, 131.80 degrees
Fractional coordinates of all 9 atoms:
Rb  0.9981  0.5023  0.7391
Zr  0.0016  0.9984  0.0000
Se  0.6549  0.8718  0.7636
S  0.3265  0.1152  0.7789
Rb  0.4977  0.0019  0.2609
S  0.8848  0.6735  0.2211
Ag  0.0039  0.9961  0.5000
Ag  0.5043  0.4957  0.0000
Se  0.1282  0.3451  0.2364

Properties
Total magnetization   0.00 μB/atom
Energy   -4.4939 eV/atom

***

Record 20
Below is a geometry-optimized CuSnTe structure, with properties calculated at the GGA-PBE level.

Cell lengths 4.7355, 4.7355, 4.7355 Å; angles 60.00, 60.00, 60.00 degrees
Fractional coordinates of all 3 atoms:
Cu  0.0000  0.0000  0.0000
Te  0.7500  0.7500  0.7500
Sn  0.2500  0.2500  0.2500

Properties
Energy   -3.5532 eV/atom

***

| no. | V (Å³ per cell) |
| --- | --- |
| 1 | 54.60 |
| 2 | 81.08 |
| 3 | 180.95 |
| 4 | 128.13 |
| 5 | 144.57 |
| 6 | 118.49 |
| 7 | 52.54 |
| 8 | 56.22 |
| 9 | 524.95 |
| 10 | 96.46 |
| 11 | 67.21 |
| 12 | 101.65 |
| 13 | 123.71 |
| 14 | 306.94 |
| 15 | 53.83 |
| 16 | 86.50 |
| 17 | 177.10 |
| 18 | 305.87 |
| 19 | 269.65 |
| 20 | 75.09 |